Material: Dy2Ag4S5
Method: DFT, PBE
State: optimized geometry

- raw formation energy (eV/atom) = -0.776
- density of states at the Fermi level (states/eV/f.u.) = 4.65
- E (eV per atom) = -4.526
- total magnetic moment (μB per formula unit) = 0.0

a = 4.0598 Å, b = 4.0598 Å, c = 52.1543 Å
α = 90.00°, β = 90.00°, γ = 120.00°
Space group R-3m (No. 166, hexagonal axes)
Inequivalent atoms, fractional coordinates:
Dy 0.0000 0.0000 0.1361 [6 per cell]
Ag 0.0000 0.0000 0.3099 [6 per cell]
Ag 0.0000 0.0000 0.4149 [6 per cell]
S 0.0000 0.0000 0.2250 [6 per cell]
S 0.0000 0.0000 0.3681 [6 per cell]
S 0.0000 0.0000 0.5000 [3 per cell]